First-principles (SCAN) data for a crystal of RbBaTiMn2 relaxed with PBEsol, as listed in Alexandria via LeMat-Bulk.

extended XYZ file:
```
5
Lattice="5.3504 0.0000 0.0000 0.0000 5.3504 0.0000 0.0000 0.0000 5.9437" Properties=species:S:1:pos:R:3 pbc="T T T"
Rb 0.0000 0.0000 0.0000
Ba 0.0000 0.0000 2.9718
Ti 2.6752 2.6752 0.0000
Mn 0.0000 2.6752 2.9718
Mn 2.6752 0.0000 2.9718
```

theoretical density: 3.71 g cm⁻³
formation energy: 1699 meV/atom
crystal system: tetragonal
total moment: 10.7 μB per formula unit